## i
Material: ZnP3O
Method: DFT, PBE
State: optimized geometry

Properties
Size of the total moment ... 2.1 μB per cell

a = 4.5973 Å, b = 4.5973 Å, c = 4.5973 Å
α = 90.00°, β = 90.00°, γ = 90.00°
Space group Pm-3m (No. 221)
Asymmetric unit:
Zn 0.0000 0.0000 0.0000 [1 per cell]
P 0.0000 0.0000 0.5000 [3 per cell]
O 0.5000 0.5000 0.5000 [1 per cell]

## ii
Material: ZnP3O
Method: DFT, PBE
State: optimized geometry

Properties
Size of the total moment ... 0.0 μB per cell

a = 4.1798 Å, b = 4.1798 Å, c = 4.1798 Å
α = 90.00°, β = 90.00°, γ = 90.00°
Space group Pm-3m (No. 221)
Asymmetric unit:
Zn 0.0000 0.0000 0.0000 [1 per cell]
P 0.0000 0.5000 0.5000 [3 per cell]
O 0.5000 0.5000 0.5000 [1 per cell]

ii wins, 838 meV per atom ahead of the next structure.

## i
Material: Zn2PO
Method: DFT, PBE
State: optimized geometry

Properties
Size of the total moment ... 4.0 μB per cell

a = 5.9729 Å, b = 5.9729 Å, c = 5.9729 Å
α = 90.00°, β = 90.00°, γ = 90.00°
Space group Fm-3m (No. 225)
Asymmetric unit:
Zn 0.2500 0.2500 0.2500 [8 per cell]
P 0.0000 0.0000 0.0000 [4 per cell]
O 0.0000 0.0000 0.5000 [4 per cell]

## ii
Material: Zn2PO
Method: DFT, PBE
State: optimized geometry

Properties
Size of the total moment ... 0.0 μB per cell

a = 5.1551 Å, b = 5.1551 Å, c = 9.6929 Å
α = 90.00°, β = 90.00°, γ = 90.00°
Space group I-42d (No. 122)
Asymmetric unit:
Zn 0.1927 0.2500 0.1250 [8 per cell]
P 0.0000 0.0000 0.5000 [4 per cell]
O 0.0000 0.0000 0.0000 [4 per cell]

ii wins, 710 meV per atom ahead of the next structure.

## i
Material: Zn3PO
Method: DFT, PBE
State: optimized geometry

Properties
Size of the total moment ... 0.0 μB per cell

a = 4.5538 Å, b = 4.5538 Å, c = 4.5538 Å
α = 90.00°, β = 90.00°, γ = 90.00°
Space group Pm-3m (No. 221)
Asymmetric unit:
Zn 0.0000 0.0000 0.5000 [3 per cell]
P 0.0000 0.0000 0.0000 [1 per cell]
O 0.5000 0.5000 0.5000 [1 per cell]

## ii
Material: Zn3PO
Method: DFT, PBE
State: optimized geometry

Properties
Size of the total moment ... 0.0 μB per cell

a = 4.1895 Å, b = 4.1895 Å, c = 4.1895 Å
α = 90.00°, β = 90.00°, γ = 90.00°
Space group Pm-3m (No. 221)
Asymmetric unit:
Zn 0.0000 0.0000 0.5000 [3 per cell]
P 0.5000 0.5000 0.5000 [1 per cell]
O 0.0000 0.0000 0.0000 [1 per cell]

ii wins, 546 meV per atom ahead of the next structure.

## i
Material: ZrZnP2O
Method: DFT, PBE
State: optimized geometry

Properties
Size of the total moment ... 0.0 μB per cell

a = 5.2062 Å, b = 5.2062 Å, c = 3.9792 Å
α = 90.00°, β = 90.00°, γ = 90.00°
Space group P4/mmm (No. 123)
Asymmetric unit:
Zr 0.0000 0.0000 0.0000 [1 per cell]
Zn 0.5000 0.5000 0.5000 [1 per cell]
P 0.0000 0.5000 0.0000 [2 per cell]
O 0.0000 0.0000 0.5000 [1 per cell]

## ii
Material: ZrZnP2O
Method: DFT, PBE
State: optimized geometry

Properties
Size of the total moment ... 0.0 μB per cell

a = 4.6735 Å, b = 4.6735 Å, c = 3.7272 Å
α = 90.00°, β = 90.00°, γ = 90.00°
Space group P4/mmm (No. 123)
Asymmetric unit:
Zr 0.0000 0.0000 0.0000 [1 per cell]
Zn 0.5000 0.5000 0.5000 [1 per cell]
P 0.0000 0.5000 0.5000 [2 per cell]
O 0.5000 0.5000 0.0000 [1 per cell]

i wins, 262 meV per atom ahead of the next structure.

## i
Material: ZrP2O2
Method: DFT, PBE
State: optimized geometry

Properties
Size of the total moment ... 0.0 μB per cell

a = 3.7470 Å, b = 3.7470 Å, c = 4.6013 Å
α = 90.00°, β = 90.00°, γ = 90.00°
Space group P4/mmm (No. 123)
Asymmetric unit:
Zr 0.0000 0.0000 0.0000 [1 per cell]
P 0.5000 0.5000 0.0000 [1 per cell]
P 0.5000 0.5000 0.5000 [1 per cell]
O 0.0000 0.5000 0.5000 [2 per cell]

## ii
Material: ZrP2O2
Method: DFT, PBE
State: optimized geometry

Properties
Size of the total moment ... 1.1 μB per cell

a = 3.9760 Å, b = 3.9760 Å, c = 5.8667 Å
α = 90.00°, β = 90.00°, γ = 90.00°
Space group P4/mmm (No. 123)
Asymmetric unit:
Zr 0.0000 0.0000 0.0000 [1 per cell]
P 0.0000 0.0000 0.5000 [1 per cell]
P 0.5000 0.5000 0.5000 [1 per cell]
O 0.0000 0.5000 0.0000 [2 per cell]

ii wins, 111 meV per atom ahead of the next structure.

## i
Material: Zr2P4O17
Method: DFT, PBE
State: optimized geometry

Properties
Size of the total moment ... 4.2 μB per cell

a = 9.5067 Å, b = 5.4728 Å, c = 15.1234 Å
α = 90.00°, β = 107.36°, γ = 90.00°
Space group C2 (No. 5)
Asymmetric unit:
Zr 0.1375 0.0000 0.2324 [4 per cell]
P 0.0257 0.5002 0.3455 [4 per cell]
P 0.2496 0.4959 0.1171 [4 per cell]
O 0.0000 0.3572 0.5000 [2 per cell]
O 0.0743 0.2536 0.3181 [4 per cell]
O 0.0816 0.9687 0.8458 [4 per cell]
O 0.0864 0.5192 0.4604 [4 per cell]
O 0.1076 0.7147 0.3204 [4 per cell]
O 0.1410 0.5269 0.6840 [4 per cell]
O 0.1764 0.2783 0.1508 [4 per cell]
O 0.1987 0.5087 0.0099 [4 per cell]
O 0.2018 0.7355 0.1533 [4 per cell]

## ii
Material: Zr2P4O17
Method: DFT, PBE
State: optimized geometry

Properties
Size of the total moment ... 4.0 μB per cell

a = 7.0993 Å, b = 5.4984 Å, c = 9.5428 Å
α = 90.00°, β = 90.59°, γ = 90.00°
Space group P2/m (No. 10)
Asymmetric unit:
Zr 0.0000 0.0000 0.0000 [1 per cell]
Zr 0.0000 0.5000 0.5000 [1 per cell]
P 0.2263 0.0000 0.3298 [2 per cell]
P 0.2386 0.5000 0.8317 [2 per cell]
O 0.1560 0.2301 0.4010 [4 per cell]
O 0.1564 0.2716 0.9024 [4 per cell]
O 0.1853 0.0000 0.1724 [2 per cell]
O 0.1868 0.5000 0.6744 [2 per cell]
O 0.4547 0.0000 0.3306 [2 per cell]
O 0.4557 0.5000 0.8494 [2 per cell]
O 0.5000 0.0000 0.5000 [1 per cell]

i wins, 95 meV per atom ahead of the next structure.

## i
Material: ZrP3O
Method: DFT, PBE
State: optimized geometry

Properties
Size of the total moment ... 0.0 μB per cell

a = 4.1759 Å, b = 4.1759 Å, c = 4.1759 Å
α = 90.00°, β = 90.00°, γ = 90.00°
Space group Pm-3m (No. 221)
Asymmetric unit:
Zr 0.0000 0.0000 0.0000 [1 per cell]
P 0.0000 0.5000 0.5000 [3 per cell]
O 0.5000 0.5000 0.5000 [1 per cell]

## ii
Material: ZrP3O
Method: DFT, PBE
State: optimized geometry

Properties
Size of the total moment ... 0.0 μB per cell

a = 4.9770 Å, b = 4.9770 Å, c = 4.9770 Å
α = 90.00°, β = 90.00°, γ = 90.00°
Space group Pm-3m (No. 221)
Asymmetric unit:
Zr 0.0000 0.0000 0.0000 [1 per cell]
P 0.0000 0.0000 0.5000 [3 per cell]
O 0.5000 0.5000 0.5000 [1 per cell]

i wins, 1183 meV per atom ahead of the next structure.

## i
Material: PaO3
Method: DFT, PBE
State: optimized geometry

Properties
Size of the total moment ... 3.9 μB per cell

a = 5.5061 Å, b = 5.5061 Å, c = 5.5061 Å
α = 90.00°, β = 90.00°, γ = 90.00°
Space group Fm-3m (No. 225)
Asymmetric unit:
Pa 0.0000 0.0000 0.0000 [4 per cell]
O 0.0000 0.0000 0.5000 [4 per cell]
O 0.2500 0.2500 0.2500 [8 per cell]

## ii
Material: PaO3
Method: DFT, PBE
State: optimized geometry

Properties
Size of the total moment ... 1.0 μB per cell

a = 3.4826 Å, b = 3.4826 Å, c = 3.4826 Å
α = 90.00°, β = 90.00°, γ = 90.00°
Space group Pm-3m (No. 221)
Asymmetric unit:
Pa 0.0000 0.0000 0.0000 [1 per cell]
O 0.0000 0.5000 0.5000 [3 per cell]

i wins, 218 meV per atom ahead of the next structure.